Record 1
The following is a GGA-PBEsol calculation of a relaxed HgRh2 crystal, from Alexandria via LeMat-Bulk.

Computed properties:
Energy of formation   0.598 eV per atom

Structure (CIF):
```
data_HgRh2
_chemical_formula_sum 'Hg1 Rh2'
_space_group_name_H-M_alt 'P 4/m m m'
_space_group_IT_number 123
_space_group_name_Hall '-P 4 2'
_cell_length_a 3.552
_cell_length_b 3.552
_cell_length_c 4.350
_cell_angle_alpha 90.00
_cell_angle_beta 90.00
_cell_angle_gamma 90.00
loop_
_atom_site_label
_atom_site_type_symbol
_atom_site_fract_x
_atom_site_fract_y
_atom_site_fract_z
Hg1 Hg 0.000 0.000 0.000
Rh1 Rh 0.000 0.500 0.500
```

=====

Record 2
The following is a GGA-PBEsol calculation of a relaxed InPbCl2 crystal, from Alexandria via LeMat-Bulk.

Computed properties:
Polymorph energy (0 for the lowest one)   0.084 eV/atom
Formation energy from raw total energies   -55 kJ/mol of atoms

Structure (CIF):
```
data_InPbCl2
_chemical_formula_sum 'In2 Pb2 Cl4'
_space_group_name_H-M_alt 'I m m 2'
_space_group_IT_number 44
_space_group_name_Hall 'I 2 -2'
_cell_length_a 3.504
_cell_length_b 4.757
_cell_length_c 13.106
_cell_angle_alpha 90.00
_cell_angle_beta 90.00
_cell_angle_gamma 90.00
loop_
_atom_site_label
_atom_site_type_symbol
_atom_site_fract_x
_atom_site_fract_y
_atom_site_fract_z
In1 In 0.000 0.000 0.000
Pb1 Pb 0.000 0.500 0.716
Cl1 Cl 0.000 0.000 0.407
Cl2 Cl 0.000 0.500 0.183
```

=====

Record 3
The following is a GGA-PBEsol calculation of a relaxed HfAlAs3 crystal, from Alexandria via LeMat-Bulk.

Computed properties:
Energy of formation   0.347 eV per atom

Structure (CIF):
```
data_HfAlAs3
_chemical_formula_sum 'Hf1 Al1 As3'
_space_group_name_H-M_alt 'P m -3 m'
_space_group_IT_number 221
_space_group_name_Hall '-P 4 2 3'
_cell_length_a 5.070
_cell_length_b 5.070
_cell_length_c 5.070
_cell_angle_alpha 90.00
_cell_angle_beta 90.00
_cell_angle_gamma 90.00
loop_
_atom_site_label
_atom_site_type_symbol
_atom_site_fract_x
_atom_site_fract_y
_atom_site_fract_z
Hf1 Hf 0.000 0.000 0.000
Al1 Al 0.500 0.500 0.500
As1 As 0.000 0.000 0.500
```

=====

Record 4
The following is a GGA-PBEsol calculation of a relaxed Ag8PSe6 crystal, from Alexandria via LeMat-Bulk.

Computed properties:
Formation energy from raw total energies   -3 kJ/mol of atoms

Structure (CIF):
```
data_Ag8PSe6
_chemical_formula_sum 'Ag16 P2 Se12'
_space_group_name_H-M_alt 'P m n 21'
_space_group_IT_number 31
_space_group_name_Hall 'P 2ac -2'
_cell_length_a 7.999
_cell_length_b 7.541
_cell_length_c 10.470
_cell_angle_alpha 90.00
_cell_angle_beta 90.00
_cell_angle_gamma 90.00
loop_
_atom_site_label
_atom_site_type_symbol
_atom_site_fract_x
_atom_site_fract_y
_atom_site_fract_z
Ag1 Ag 0.000 0.105 0.000
Ag2 Ag 0.000 0.226 0.433
Ag3 Ag 0.196 0.043 0.222
Ag4 Ag 0.213 0.660 0.108
Ag5 Ag 0.216 0.600 0.815
P1 P 0.000 0.750 0.455
Se1 Se 0.000 0.328 0.191
Se2 Se 0.000 0.515 0.598
Se3 Se 0.000 0.775 0.948
Se4 Se 0.000 0.976 0.599
Se5 Se 0.230 0.243 0.851
```

=====

Record 5
The following is a GGA-PBEsol calculation of a relaxed BaMgAs2 crystal, from Alexandria via LeMat-Bulk.

Computed properties:
Energy of formation   -0.145 eV per atom

Structure (CIF):
```
data_BaMgAs2
_chemical_formula_sum 'Ba4 Mg4 As8'
_space_group_name_H-M_alt 'F -4 3 m'
_space_group_IT_number 216
_space_group_name_Hall 'F -4 2 3'
_cell_length_a 7.328
_cell_length_b 7.328
_cell_length_c 7.328
_cell_angle_alpha 90.00
_cell_angle_beta 90.00
_cell_angle_gamma 90.00
loop_
_atom_site_label
_atom_site_type_symbol
_atom_site_fract_x
_atom_site_fract_y
_atom_site_fract_z
Ba1 Ba 0.000 0.000 0.000
Mg1 Mg 0.250 0.250 0.750
As1 As 0.000 0.000 0.500
As2 As 0.250 0.250 0.250
```

=====

Record 6
The following is a GGA-PBEsol calculation of a relaxed SrMgAu2 crystal, from Alexandria via LeMat-Bulk.

Computed properties:
Energy of formation   -0.597 eV per atom

Structure (CIF):
```
data_SrMgAu2
_chemical_formula_sum 'Sr1 Mg1 Au2'
_space_group_name_H-M_alt 'P 4/m m m'
_space_group_IT_number 123
_space_group_name_Hall '-P 4 2'
_cell_length_a 3.509
_cell_length_b 3.509
_cell_length_c 7.096
_cell_angle_alpha 90.00
_cell_angle_beta 90.00
_cell_angle_gamma 90.00
loop_
_atom_site_label
_atom_site_type_symbol
_atom_site_fract_x
_atom_site_fract_y
_atom_site_fract_z
Sr1 Sr 0.000 0.000 0.000
Mg1 Mg 0.000 0.000 0.500
Au1 Au 0.500 0.500 0.297
```

=====

Record 7
The following is a GGA-PBEsol calculation of a relaxed Sc4BeCl crystal, from Alexandria via LeMat-Bulk.

Computed properties:
Formation energy from raw total energies   53 kJ/mol of atoms

Structure (CIF):
```
data_Sc4BeCl
_chemical_formula_sum 'Sc16 Be4 Cl4'
_space_group_name_H-M_alt 'F -4 3 m'
_space_group_IT_number 216
_space_group_name_Hall 'F -4 2 3'
_cell_length_a 8.088
_cell_length_b 8.088
_cell_length_c 8.088
_cell_angle_alpha 90.00
_cell_angle_beta 90.00
_cell_angle_gamma 90.00
loop_
_atom_site_label
_atom_site_type_symbol
_atom_site_fract_x
_atom_site_fract_y
_atom_site_fract_z
Sc1 Sc 0.123 0.123 0.123
Be1 Be 0.250 0.250 0.750
Cl1 Cl 0.000 0.000 0.500
```

=====

Record 8
The following is a GGA-PBEsol calculation of a relaxed Li2Mg crystal, from Alexandria via LeMat-Bulk.

Computed properties:
Energy of formation   0.026 eV per atom

Structure (CIF):
```
data_Li2Mg
_chemical_formula_sum 'Li8 Mg4'
_space_group_name_H-M_alt 'I m m a'
_space_group_IT_number 74
_space_group_name_Hall '-I 2b 2'
_cell_length_a 3.034
_cell_length_b 5.108
_cell_length_c 15.379
_cell_angle_alpha 90.00
_cell_angle_beta 90.00
_cell_angle_gamma 90.00
loop_
_atom_site_label
_atom_site_type_symbol
_atom_site_fract_x
_atom_site_fract_y
_atom_site_fract_z
Li1 Li 0.000 0.250 0.012
Li2 Li 0.000 0.250 0.178
Mg1 Mg 0.000 0.250 0.659
```

=====

Record 9
The following is a GGA-PBEsol calculation of a relaxed MoN2O2 crystal, from Alexandria via LeMat-Bulk.

Computed properties:
Formation energy from raw total energies   68 kJ/mol of atoms

Structure (CIF):
```
data_MoN2O2
_chemical_formula_sum 'Mo1 N2 O2'
_space_group_name_H-M_alt 'P 4/m m m'
_space_group_IT_number 123
_space_group_name_Hall '-P 4 2'
_cell_length_a 3.934
_cell_length_b 3.934
_cell_length_c 3.804
_cell_angle_alpha 90.00
_cell_angle_beta 90.00
_cell_angle_gamma 90.00
loop_
_atom_site_label
_atom_site_type_symbol
_atom_site_fract_x
_atom_site_fract_y
_atom_site_fract_z
Mo1 Mo 0.000 0.000 0.000
N1 N 0.000 0.500 0.000
O1 O 0.000 0.000 0.500
O2 O 0.500 0.500 0.500
```

=====

Record 10
The following is a GGA-PBEsol calculation of a relaxed CrIrPt2 crystal, from Alexandria via LeMat-Bulk.

Computed properties:
Energy of formation   -0.140 eV per atom

Structure (CIF):
```
data_CrIrPt2
_chemical_formula_sum 'Cr2 Ir2 Pt4'
_space_group_name_H-M_alt 'I -4 m 2'
_space_group_IT_number 119
_space_group_name_Hall 'I -4 -2'
_cell_length_a 3.821
_cell_length_b 3.821
_cell_length_c 7.648
_cell_angle_alpha 90.00
_cell_angle_beta 90.00
_cell_angle_gamma 90.00
loop_
_atom_site_label
_atom_site_type_symbol
_atom_site_fract_x
_atom_site_fract_y
_atom_site_fract_z
Cr1 Cr 0.000 0.000 0.000
Ir1 Ir 0.000 0.500 0.250
Pt1 Pt 0.000 0.000 0.500
Pt2 Pt 0.000 0.500 0.750
```

=====

Record 11
The following is a GGA-PBEsol calculation of a relaxed Hf2TaFeSi crystal, from Alexandria via LeMat-Bulk.

Computed properties:
Formation energy from raw total energies   125 kJ/mol of atoms

Structure (CIF):
```
data_Hf2TaFeSi
_chemical_formula_sum 'Hf2 Ta1 Fe1 Si1'
_space_group_name_H-M_alt 'P 4/m m m'
_space_group_IT_number 123
_space_group_name_Hall '-P 4 2'
_cell_length_a 5.040
_cell_length_b 5.040
_cell_length_c 4.262
_cell_angle_alpha 90.00
_cell_angle_beta 90.00
_cell_angle_gamma 90.00
loop_
_atom_site_label
_atom_site_type_symbol
_atom_site_fract_x
_atom_site_fract_y
_atom_site_fract_z
Hf1 Hf 0.000 0.500 0.000
Ta1 Ta 0.000 0.000 0.000
Fe1 Fe 0.000 0.000 0.500
Si1 Si 0.500 0.500 0.500
```

=====

Record 12
The following is a GGA-PBEsol calculation of a relaxed BeFePbF2 crystal, from Alexandria via LeMat-Bulk.

Computed properties:
Formation energy from raw total energies   -95 kJ/mol of atoms

Structure (CIF):
```
data_BeFePbF2
_chemical_formula_sum 'Be1 Fe1 Pb1 F2'
_space_group_name_H-M_alt 'P 4/m m m'
_space_group_IT_number 123
_space_group_name_Hall '-P 4 2'
_cell_length_a 3.467
_cell_length_b 3.467
_cell_length_c 7.149
_cell_angle_alpha 90.00
_cell_angle_beta 90.00
_cell_angle_gamma 90.00
loop_
_atom_site_label
_atom_site_type_symbol
_atom_site_fract_x
_atom_site_fract_y
_atom_site_fract_z
Be1 Be 0.000 0.000 0.000
Fe1 Fe 0.500 0.500 0.500
Pb1 Pb 0.000 0.000 0.500
F1 F 0.000 0.500 0.000
```

=====

no.,final energy (eV per atom)
1,-5.016
2,-3.324
3,-5.636
4,-3.725
5,-3.665
6,-3.448
7,-4.855
8,-1.858
9,-7.159
10,-8.638
11,-8.357
12,-5.150